Entry 1:
Density functional theory data (GGA-PBE) for a geometry-optimized Cs6CdAg2 structure.

## Properties
VASP energy (eV per atom): -1.26
Calculated volume (Å³/cell): 533.2

The structure in POSCAR format:
```
Cs6CdAg2
1.0
-1.2251 -7.2209 7.4327
-5.2522 -0.8127 -8.9800
4.2506 -3.0007 -2.2145
Cd Cs Ag
1 6 2
Cartesian
2.1253 -1.5003 -1.1073
1.4005 -5.7725 3.2902
-4.7378 -5.8762 -1.1318
-0.3290 -1.9391 1.9960
-0.9821 -1.9812 -6.4202
-1.4105 -0.2183 -2.4116
-0.5197 -4.7809 -1.7391
-2.5674 -5.0848 1.9618
-3.9098 -2.9488 -3.5091
```

***

Entry 2:
Density functional theory data (GGA-PBE) for a geometry-optimized ZrW structure.

## Properties
E_form (kcal/mol of atoms): 3.441
VASP energy (eV per atom): -10.60
Calculated volume (Å³/cell): 226.1
Total moment (μB/atom): 0.0002

The structure in POSCAR format:
```
ZrW
1.0
-3.1127 -4.9582 -6.4758
1.6210 -3.4087 4.5977
-4.2712 0.3630 1.7750
Zr W
6 6
Cartesian
-1.1640 -4.1267 4.1065
-2.4162 -5.2052 1.3140
0.0478 -0.3915 0.1952
-1.8127 -4.2713 -3.4881
-3.2295 -3.5944 -0.9724
-0.9994 -5.8819 -1.2017
-1.9436 -2.3708 1.8715
0.3563 -4.7487 1.8287
-4.5852 -4.7278 -4.0026
0.8274 -2.1474 2.4300
-0.4054 -3.1183 -0.3377
-3.8236 -6.3580 -1.8367
```

***

Entry 3:
Density functional theory data (GGA-PBE) for a geometry-optimized DyTmZn2Ga2 structure.

## Properties
VASP energy (eV per atom): -3.52
Calculated volume (Å³/cell): 118.5
Total moment (μB/atom): 0.0013

The structure in POSCAR format:
```
DyTmZn2Ga2
1.0
4.3914 0.0000 0.0000
-2.1957 3.8031 0.0000
0.0000 0.0000 7.0974
Ga Tm Zn Dy
2 1 2 1
Cartesian
2.1957 1.2677 6.8435
0.0000 2.5354 3.3247
0.0000 0.0000 5.3156
2.1957 1.2677 3.8122
0.0000 2.5354 0.2277
0.0000 0.0000 1.7683
```

***

Entry 4:
Density functional theory data (GGA-PBE) for a geometry-optimized GdFeCoP2 structure.

## Properties
VASP energy (eV per atom): -7.17
Calculated volume (Å³/cell): 69.4
Total moment (μB/atom): 0.0650

The structure in POSCAR format:
```
GdFeCoP2
1.0
1.4725 3.8786 3.6010
-2.7572 4.7359 0.3844
-0.9824 -5.4030 -0.1481
P Gd Fe Co
2 1 1 1
Cartesian
0.0889 0.2846 2.2107
-0.2413 2.4984 3.2349
-2.1910 1.8201 1.1145
-0.6424 4.3073 1.9927
0.0000 0.0000 0.0000
```

***

Entry 5:
Density functional theory data (GGA-PBE) for a geometry-optimized Li2ScAl2CdPt2 structure.

## Properties
VASP energy (eV per atom): -4.56
Calculated volume (Å³/cell): 127.3
Total moment (μB/atom): 0.0005

The structure in POSCAR format:
```
Li2ScAl2CdPt2
1.0
4.4579 0.0000 0.0000
0.0000 4.4579 0.0000
0.0000 0.0000 6.4066
Al Sc Pt Cd Li
2 1 2 1 2
Cartesian
0.0000 0.0000 3.2033
2.2289 2.2289 0.0000
2.2289 2.2289 3.2033
0.0000 2.2289 1.6987
2.2289 0.0000 4.7079
0.0000 0.0000 0.0000
2.2289 0.0000 1.4790
0.0000 2.2289 4.9277
```

***

Entry 6:
Density functional theory data (GGA-PBE) for a geometry-optimized TmSbN2O structure.

## Properties
VASP energy (eV per atom): -6.98
Calculated volume (Å³/cell): 125.5
Total moment (μB/atom): 0.0001

The structure in POSCAR format:
```
TmSbN2O
1.0
1.6655 3.7830 3.8600
-4.6767 -3.0751 0.8107
2.7953 -4.8470 -0.8228
Sb Tm N O
2 2 4 2
Cartesian
-2.1535 0.5063 3.3403
1.5825 -0.3797 2.5236
-1.2593 -1.7945 0.8677
-1.8836 -5.8310 1.0770
-0.1506 0.6518 2.9199
-3.3037 -2.7815 1.4075
0.1533 -4.8423 0.5889
3.3064 -1.4089 2.1013
0.5056 -2.2157 2.1980
-2.0984 -1.5997 3.7855
```

***

Entry 7:
Density functional theory data (GGA-PBE) for a geometry-optimized MgGaNiHg structure.

## Properties
VASP energy (eV per atom): -2.65
Calculated volume (Å³/cell): 66.4
Total moment (μB/atom): 0.0001

The structure in POSCAR format:
```
MgGaNiHg
1.0
-0.3383 -3.8780 2.3447
-4.0152 -2.0988 0.3532
-0.7144 -3.9207 -2.1839
Ga Mg Ni Hg
1 1 1 1
Cartesian
0.0000 0.0000 0.0000
-1.2670 -2.4744 0.1285
-3.8009 -7.4232 0.3856
-2.5339 -4.9488 0.2571
```

***

Entry 8:
Density functional theory data (GGA-PBE) for a geometry-optimized Re7W5 structure.

## Properties
E_form (kcal/mol of atoms): 7.348
VASP energy (eV per atom): -12.33
Calculated volume (Å³/cell): 383.4
Total moment (μB/atom): 0.0004

The structure in POSCAR format:
```
Re7W5
1.0
5.1394 0.0000 0.0000
-2.5697 4.4509 0.0000
0.0000 0.0000 16.7590
W Re
10 14
Cartesian
-1.2849 2.2254 8.3795
1.2849 2.2254 8.3795
2.5697 0.0000 0.0000
2.5697 1.4836 5.7150
0.0000 2.9672 14.0946
-1.2849 2.2254 0.0000
2.5697 0.0000 8.3795
2.5697 1.4836 2.6645
0.0000 2.9672 11.0440
1.2849 2.2254 0.0000
0.0000 0.0000 1.5405
0.0000 2.9672 2.1698
2.5697 1.4836 14.5893
1.3381 3.7398 4.1898
2.5697 3.0288 12.5693
3.9078 0.7111 12.5693
1.2316 0.7111 12.5693
-1.3381 3.7398 4.1898
2.5697 1.4836 10.5493
0.0000 0.0000 6.8390
0.0000 1.4221 4.1898
0.0000 2.9672 6.2097
0.0000 0.0000 15.2185
0.0000 0.0000 9.9200
```